Record 1
CaPmZnRh (GGA-PBE, relaxed); DFT formation energy = -488 meV per atom; total magnetic moment = 0.00 μB/f.u.; excess energy over the best structure of this formula in the dataset = 0 meV per atom; D(E_F) = 2.88 states/eV/f.u.; V = 192.1 Å³ per cell
1.0
4.1720 0.0000 0.0000
0.0000 4.0955 0.0000
0.0000 0.0000 11.2454
Ca Pm Zn Rh
2 2 2 2
direct
0.0000 0.0000 0.0000
0.0000 0.5000 0.5000
0.5000 0.0000 0.7182
0.5000 0.5000 0.2182
0.5000 0.0000 0.4214
0.5000 0.5000 0.9214
0.0000 0.0000 0.2785
0.0000 0.5000 0.7785

---

Record 2
CaPm3Ru (GGA-PBE, relaxed); DFT formation energy = -94 meV per atom; total magnetic moment = 0.00 μB/f.u.; excess energy over the best structure of this formula in the dataset = 0 meV per atom; D(E_F) = 5.77 states/eV/f.u.; V = 320.6 Å³ per cell
1.0
7.3731 -1.9271 0.0000
7.3731 1.9271 0.0000
-0.2669 0.0000 11.2833
Ca Pm Ru
2 6 2
direct
0.1713 0.1713 0.0935
0.8287 0.8287 0.9065
0.0653 0.0653 0.3814
0.2124 0.2124 0.6476
0.4406 0.4406 0.1555
0.5594 0.5594 0.8445
0.7876 0.7876 0.3524
0.9347 0.9347 0.6186
0.4193 0.4193 0.4045
0.5807 0.5807 0.5955

---

Record 3
Ca2PmRu (GGA-PBE, relaxed); DFT formation energy = -59 meV per atom; total magnetic moment = 0.00 μB/f.u.; D(E_F) = 2.75 states/eV/f.u.; V = 473.3 Å³ per cell
1.0
7.5832 0.0000 0.0000
0.0000 9.6807 0.0000
0.0000 0.0000 6.4471
Ca Pm Ru
8 4 4
direct
0.1704 0.0677 0.1595
0.1704 0.4323 0.1595
0.3296 0.5677 0.6595
0.3296 0.9323 0.6595
0.6704 0.0677 0.3405
0.6704 0.4323 0.3405
0.8296 0.5677 0.8405
0.8296 0.9323 0.8405
0.0458 0.2500 0.6426
0.4542 0.7500 0.1426
0.5458 0.2500 0.8574
0.9542 0.7500 0.3574
0.1298 0.7500 0.9911
0.3702 0.2500 0.4911
0.6298 0.7500 0.5089
0.8702 0.2500 0.0089